(1)
## ZrRe2Au (PBE-GGA)

Data for crystalline ZrRe2Au at its relaxed geometry.

```
4
Lattice="2.930 0.000 0.000 0.000 3.996 0.000 0.000 0.000 5.930" Properties=species:S:1:pos:R:3 pbc="T T T"
Zr 0.000 0.000 2.930
Re 1.465 1.998 1.295
Re 0.000 0.000 0.203
Au 1.465 1.998 4.467
```

Crystal system ... orthorhombic
E ... -9.162 eV per atom

=====

(2)
## ZrRe2Au (PBE-GGA)

Data for crystalline ZrRe2Au at its relaxed geometry.

```
4
Lattice="5.173 0.005 0.000 2.115 4.721 0.000 -3.644 -2.363 2.810" Properties=species:S:1:pos:R:3 pbc="T T T"
Zr 1.058 2.361 1.405
Re 3.644 2.363 0.000
Re 0.000 0.000 0.000
Au 2.587 0.003 1.405
```

Crystal system ... tetragonal
E ... -8.956 eV per atom

=====

(3)
## ZrReAu2 (PBE-GGA)

Data for crystalline ZrReAu2 at its relaxed geometry.

```
4
Lattice="4.072 0.000 0.000 0.000 4.072 0.000 0.000 0.000 4.262" Properties=species:S:1:pos:R:3 pbc="T T T"
Re 2.036 0.000 2.131
Au 0.000 0.000 0.000
Au 2.036 2.036 0.000
Zr 0.000 2.036 2.131
```

Crystal system ... tetragonal
E ... -6.943 eV per atom

=====

(4)
## ZrReAu2 (PBE-GGA)

Data for crystalline ZrReAu2 at its relaxed geometry.

```
4
Lattice="-0.057 4.084 -2.296 -3.434 0.925 -3.050 -3.243 3.221 1.030" Properties=species:S:1:pos:R:3 pbc="T T T"
Zr -1.683 2.058 -1.079
Au 0.000 0.000 0.000
Au -5.050 6.173 -3.237
Re -3.367 4.115 -2.158
```

Crystal system ... cubic
E ... -6.667 eV per atom

=====

(5)
## ZrReAu2 (PBE-GGA)

Data for crystalline ZrReAu2 at its relaxed geometry.

```
4
Lattice="-4.218 4.428 -2.121 1.144 -4.052 -2.871 -2.812 -0.766 -0.032" Properties=species:S:1:pos:R:3 pbc="T T T"
Au -3.515 1.831 -1.076
Au 0.000 0.000 0.000
Re -0.834 -2.409 -1.452
Zr -1.537 0.188 -2.496
```

Crystal system ... monoclinic
E ... -6.842 eV per atom

=====

(6)
## ZrReAu2 (PBE-GGA)

Data for crystalline ZrReAu2 at its relaxed geometry.

```
4
Lattice="-9.303 2.702 -1.828 -9.850 0.329 -0.243 -9.369 2.875 1.071" Properties=species:S:1:pos:R:3 pbc="T T T"
Zr -21.391 4.430 -0.750
Au -28.405 5.882 -0.996
Au -14.377 2.977 -0.504
Re -7.130 1.477 -0.250
```

Crystal system ... trigonal
E ... -6.646 eV per atom

=====

(7)
## Zr4ReAu (PBE-GGA)

Data for crystalline Zr4ReAu at its relaxed geometry.

```
6
Lattice="-5.234 1.510 1.110 -2.001 4.780 -2.014 -3.827 -0.068 -4.032" Properties=species:S:1:pos:R:3 pbc="T T T"
Au -8.297 4.666 -3.702
Zr -4.132 2.324 -1.844
Zr -6.780 3.088 -1.282
Zr -5.144 4.742 -2.863
Zr -6.068 2.289 -3.883
Re 0.000 0.000 0.000
```

Crystal system ... cubic
E ... -7.827 eV per atom

=====

(8)
## ZrRe2Au (PBE-GGA)

Data for crystalline ZrRe2Au at its relaxed geometry.

```
4
Lattice="3.422 0.000 0.000 0.000 3.436 0.000 0.000 0.000 5.865" Properties=species:S:1:pos:R:3 pbc="T T T"
Re 0.000 0.000 3.016
Re 0.000 0.000 5.782
Au 1.711 1.718 4.399
Zr 1.711 1.718 1.466
```

Crystal system ... orthorhombic
E ... -8.833 eV per atom

=====

(9)
## ZrReAu2 (PBE-GGA)

Data for crystalline ZrReAu2 at its relaxed geometry.

```
4
Lattice="2.865 0.004 0.000 -0.004 2.865 0.000 0.000 0.000 8.621" Properties=species:S:1:pos:R:3 pbc="T T T"
Au 0.000 0.000 0.095
Au 0.000 0.000 4.216
Re 1.430 1.434 2.155
Zr 1.430 1.434 6.466
```

Crystal system ... tetragonal
E ... -6.701 eV per atom

=====

(10)
## ZrReAu2 (PBE-GGA)

Data for crystalline ZrReAu2 at its relaxed geometry.

```
4
Lattice="2.863 -0.002 0.000 -0.642 2.790 0.000 0.000 0.000 9.002" Properties=species:S:1:pos:R:3 pbc="T T T"
Au 1.111 1.394 2.335
Au 0.000 0.000 8.987
Zr 1.111 1.394 6.674
Re 0.000 0.000 4.509
```

Crystal system ... orthorhombic
E ... -6.832 eV per atom

=====

(11)
## ZrRe2Au (PBE-GGA)

Data for crystalline ZrRe2Au at its relaxed geometry.

```
4
Lattice="4.995 0.009 -0.001 3.483 3.580 -0.001 1.925 0.815 3.855" Properties=species:S:1:pos:R:3 pbc="T T T"
Zr 5.145 2.178 1.959
Re 2.055 0.870 3.779
Re 7.679 3.251 2.962
Au 2.649 1.121 0.935
```

Crystal system ... orthorhombic
E ... -9.123 eV per atom

=====

(12)
## ZrRe2Au (PBE-GGA)

Data for crystalline ZrRe2Au at its relaxed geometry.

```
4
Lattice="4.858 0.000 0.000 0.000 2.821 0.009 0.000 0.289 5.048" Properties=species:S:1:pos:R:3 pbc="T T T"
Zr 2.429 0.777 1.264
Re 0.000 1.758 2.471
Re 0.000 2.618 0.066
Au 2.429 2.332 3.792
```

Crystal system ... monoclinic
E ... -8.992 eV per atom

=====

(13)
## ZrReAu2 (PBE-GGA)

Data for crystalline ZrReAu2 at its relaxed geometry.

```
4
Lattice="1.190 -4.261 -1.531 -1.613 -3.809 2.192 -3.197 -2.718 -2.076" Properties=species:S:1:pos:R:3 pbc="T T T"
Au -2.715 -8.092 -1.061
Au -0.905 -2.697 -0.354
Zr 0.000 0.000 0.000
Re -1.810 -5.394 -0.708
```

Crystal system ... cubic
E ... -6.676 eV per atom

=====

(14)
## ZrRe2Au (PBE-GGA)

Data for crystalline ZrRe2Au at its relaxed geometry.

```
4
Lattice="-9.287 0.068 -3.297 -8.591 -2.604 -4.067 -9.531 -2.076 -1.410" Properties=species:S:1:pos:R:3 pbc="T T T"
Zr -13.750 -2.314 -4.402
Re -7.050 -1.186 -2.257
Re -27.261 -4.587 -8.727
Au -20.462 -3.443 -6.550
```

Crystal system ... trigonal
E ... -9.046 eV per atom

=====

(15)
## ZrReAu2 (PBE-GGA)

Data for crystalline ZrReAu2 at its relaxed geometry.

```
8
Lattice="3.909 0.000 0.000 0.000 3.909 0.000 1.955 1.955 10.065" Properties=species:S:1:pos:R:3 pbc="T T T"
Zr 1.955 3.909 5.033
Zr 1.955 1.955 0.000
Au 0.938 2.932 2.516
Au 2.971 0.977 2.516
Au 2.932 2.893 7.549
Au 4.886 4.925 7.549
Re 0.000 0.000 0.000
Re 3.909 1.955 5.033
```

Crystal system ... tetragonal
E ... -6.528 eV per atom

=====

(16)
## ZrRe2Au (PBE-GGA)

Data for crystalline ZrRe2Au at its relaxed geometry.

```
4
Lattice="-0.721 -3.283 3.134 1.384 0.621 4.338 -3.100 0.644 3.331" Properties=species:S:1:pos:R:3 pbc="T T T"
Au -1.218 -1.009 5.402
Zr 0.000 0.000 0.000
Re -0.609 -0.504 2.701
Re -1.827 -1.513 8.103
```

Crystal system ... cubic
E ... -8.686 eV per atom

=====

(17)
## ZrRe2Au (PBE-GGA)

Data for crystalline ZrRe2Au at its relaxed geometry.

```
4
Lattice="-0.587 -1.606 2.178 -0.396 -1.510 -2.287 8.891 -2.815 0.321" Properties=species:S:1:pos:R:3 pbc="T T T"
Re 0.001 0.000 0.000
Re 4.445 -1.407 0.160
Zr 1.732 -2.262 0.026
Au 6.177 -3.669 0.186
```

Crystal system ... orthorhombic
E ... -8.869 eV per atom

=====

(18)
## ZrReAu2 (PBE-GGA)

Data for crystalline ZrReAu2 at its relaxed geometry.

```
4
Lattice="-3.129 -1.390 -1.106 1.225 -0.064 -3.383 2.006 -5.170 0.824" Properties=species:S:1:pos:R:3 pbc="T T T"
Zr 0.552 -4.604 -1.627
Re -0.451 -2.020 -2.039
Au 0.012 -0.032 0.005
Au 0.991 -2.553 0.407
```

Crystal system ... tetragonal
E ... -6.750 eV per atom

=====

(19)
## ZrReAu2 (PBE-GGA)

Data for crystalline ZrReAu2 at its relaxed geometry.

```
4
Lattice="-2.715 1.352 4.062 -3.942 -1.011 3.022 2.485 -2.848 3.543" Properties=species:S:1:pos:R:3 pbc="T T T"
Au -3.179 -1.857 7.978
Au 2.469 -2.833 3.527
Re -2.038 -1.283 5.325
Zr -1.024 -0.635 2.653
```

Crystal system ... monoclinic
E ... -6.815 eV per atom

=====

(20)
## ZrRe2Au (PBE-GGA)

Data for crystalline ZrRe2Au at its relaxed geometry.

```
4
Lattice="-7.725 -4.241 -4.778 -6.261 -6.600 -4.210 -8.041 -5.537 -2.277" Properties=species:S:1:pos:R:3 pbc="T T T"
Zr -5.507 -4.095 -2.816
Re -10.948 -8.140 -5.599
Re -0.066 -0.049 -0.034
Au -16.521 -12.284 -8.449
```

Crystal system ... trigonal
E ... -8.734 eV per atom

=====

(21)
## ZrReAu2 (PBE-GGA)

Data for crystalline ZrReAu2 at its relaxed geometry.

```
4
Lattice="4.601 0.000 0.000 0.000 2.738 0.180 0.000 0.977 5.706" Properties=species:S:1:pos:R:3 pbc="T T T"
Au 2.301 0.413 1.508
Au 0.000 1.492 5.725
Re 0.000 1.696 2.824
Zr 2.301 2.949 4.477
```

Crystal system ... monoclinic
E ... -6.848 eV per atom

=====

(22)
## ZrRe2Au (PBE-GGA)

Data for crystalline ZrRe2Au at its relaxed geometry.

```
4
Lattice="4.599 0.000 0.000 2.299 3.982 0.000 2.299 1.327 3.755" Properties=species:S:1:pos:R:3 pbc="T T T"
Zr 6.898 3.982 2.816
Re 2.299 1.327 0.939
Re 0.000 0.000 0.000
Au 4.599 2.655 1.877
```

Crystal system ... cubic
E ... -8.986 eV per atom

=====

(23)
## RhAu2 (PBE-GGA)

Data for crystalline RhAu2 at its relaxed geometry.

```
12
Lattice="5.859 0.000 0.002 0.000 3.993 0.000 -2.769 0.000 8.599" Properties=species:S:1:pos:R:3 pbc="T T T"
Rh 0.210 0.000 7.179
Rh 1.594 1.997 2.880
Rh 1.496 1.997 5.722
Rh 2.880 0.000 1.422
Au 1.504 1.997 0.019
Au 0.120 0.000 4.319
Au -1.345 1.997 5.758
Au 2.970 0.000 4.283
Au 3.050 0.000 7.142
Au 4.435 1.997 2.843
Au 1.586 1.997 8.582
Au 0.040 0.000 1.459
```

Crystal system ... monoclinic
E ... -4.492 eV per atom

=====

(24)
## RhAu2 (PBE-GGA)

Data for crystalline RhAu2 at its relaxed geometry.

```
12
Lattice="5.760 0.000 0.016 0.000 8.628 0.000 -2.950 0.000 4.040" Properties=species:S:1:pos:R:3 pbc="T T T"
Rh 0.703 3.683 1.014
Rh 3.583 0.631 1.022
Rh -0.773 7.997 3.034
Rh 2.108 4.945 3.041
Au -0.773 5.059 3.034
Au 0.703 6.463 1.014
Au 3.583 6.479 1.022
Au -0.773 2.149 3.034
Au 3.583 3.568 1.022
Au 2.108 7.882 3.041
Au 0.703 0.746 1.014
Au 2.108 2.165 3.041
```

Crystal system ... monoclinic
E ... -4.478 eV per atom

=====

(25)
## Rh2Au (PBE-GGA)

Data for crystalline Rh2Au at its relaxed geometry.

```
3
Lattice="-0.508 2.178 5.869 -3.108 4.100 3.602 0.448 -4.515 -4.343" Properties=species:S:1:pos:R:3 pbc="T T T"
Au 0.000 0.000 0.000
Rh -1.172 2.034 3.069
Rh -2.444 4.244 6.402
```

Crystal system ... tetragonal
E ... -5.864 eV per atom

=====

(26)
## Rh2Au (PBE-GGA)

Data for crystalline Rh2Au at its relaxed geometry.

```
6
Lattice="0.000 3.654 3.654 3.654 0.000 3.654 3.654 3.654 0.000" Properties=species:S:1:pos:R:3 pbc="T T T"
Rh 2.740 2.740 0.913
Rh 2.740 0.913 2.740
Rh 0.913 0.913 0.913
Rh 0.913 2.740 2.740
Au 3.654 3.654 3.654
Au 5.481 5.481 5.481
```

Crystal system ... cubic
E ... -5.602 eV per atom

=====

(27)
## RhAu2 (PBE-GGA)

Data for crystalline RhAu2 at its relaxed geometry.

```
6
Lattice="2.582 1.505 4.460 -2.752 2.020 4.143 -0.544 -2.860 4.511" Properties=species:S:1:pos:R:3 pbc="T T T"
Rh -0.536 0.499 9.836
Rh -0.357 0.333 6.557
Au -0.089 0.083 1.639
Au -0.361 -1.347 3.895
Au 1.202 0.836 3.869
Au -1.465 1.093 3.711
```

Crystal system ... cubic
E ... -4.106 eV per atom

=====

(28)
## RhAu3 (PBE-GGA)

Data for crystalline RhAu3 at its relaxed geometry.

```
4
Lattice="1.438 4.805 0.006 -1.438 4.805 0.006 0.000 0.886 4.935" Properties=species:S:1:pos:R:3 pbc="T T T"
Au 0.000 7.469 1.215
Au 0.000 0.443 2.467
Au 0.000 3.026 3.732
Rh 0.000 4.805 0.006
```

Crystal system ... monoclinic
E ... -4.166 eV per atom

=====

(29)
## Rh2Au (PBE-GGA)

Data for crystalline Rh2Au at its relaxed geometry.

```
12
Lattice="5.171 0.000 0.000 -2.586 4.478 0.000 0.000 0.000 8.340" Properties=species:S:1:pos:R:3 pbc="T T T"
Rh -1.260 3.713 6.255
Rh 1.326 0.765 2.085
Rh 3.845 0.765 2.085
Rh 2.586 2.947 2.085
Rh 1.260 3.713 6.255
Rh 0.000 0.000 0.000
Rh 0.000 1.531 6.255
Rh 0.000 0.000 4.170
Au 2.586 1.493 7.766
Au 0.000 2.986 3.596
Au 0.000 2.986 0.574
Au 2.586 1.493 4.744
```

Crystal system ... hexagonal
E ... -5.700 eV per atom

=====

no.,energy relative to the elements (eV/atom),M_tot (μB/atom)
1,0.019,0.00
2,0.225,0.00
3,-0.055,0.10
4,0.221,0.23
5,0.045,0.00
6,0.242,0.00
7,0.493,0.00
8,0.347,0.00
9,0.187,0.01
10,0.056,0.00
11,0.058,0.00
12,0.188,0.00
13,0.212,0.00
14,0.135,0.00
15,0.359,0.00
16,0.494,0.00
17,0.312,0.00
18,0.138,0.00
19,0.073,0.00
20,0.446,0.00
21,0.040,0.00
22,0.194,0.00
23,0.143,0.16
24,0.157,0.19
25,0.130,0.00
26,0.391,0.45
27,0.529,0.27
28,0.130,0.10
29,0.294,0.23